Entry 1:
Compound: FeSiAu2
Source: Alexandria via LeMat-Bulk
Functional: PBEsol
Structure: optimized geometry

a b c (Å): 2.854 4.154 5.277
angles (deg): 90.00 103.98 90.00
Space group P2/m (No. 10)
Inequivalent atoms, fractional coordinates:
Fe 0.000 0.000 0.000 (multiplicity 1)
Si 0.000 0.000 0.500 (multiplicity 1)
Au 0.354 0.500 0.743 (multiplicity 2)

Properties
The calculation puts the theoretical density at 13.072 g cm⁻³. The energy relative to the elements, uncorrected comes out at 172 meV/atom. The size of the total moment comes out at 0.6833 μB/atom. The total energy is -0.402 Ry per atom. Its density of states at the Fermi level is 2.8 states/eV/cell.

Entry 2:
Compound: FeTc2SnAu
Source: Alexandria via LeMat-Bulk
Functional: PBEsol
Structure: optimized geometry

a b c (Å): 4.327 4.327 4.756
angles (deg): 90.00 90.00 90.00
Space group P4/mmm (No. 123)
Inequivalent atoms, fractional coordinates:
Fe 0.000 0.000 0.000 (multiplicity 1)
Tc 0.000 0.500 0.000 (multiplicity 2)
Sn 0.500 0.500 0.500 (multiplicity 1)
Au 0.000 0.000 0.500 (multiplicity 1)

Properties
As for the calculated formation energy: 1.03 eV/atom. The calculation puts the theoretical density at 10.582 g cm⁻³. The size of the total moment comes out at 0.2533 μB/atom. The total energy is -0.507 Ry per atom. Its density of states at the Fermi level is 5.6 states/eV/cell.

Entry 3:
Compound: Sr2FeAu
Source: Alexandria via LeMat-Bulk
Functional: PBEsol
Structure: optimized geometry

a b c (Å): 4.0726 4.0726 24.6661
angles (deg): 90.00 90.00 120.00
Space group R-3m (No. 166, hexagonal axes)
Inequivalent atoms, fractional coordinates:
Sr 0.0000 0.0000 0.2488 (multiplicity 6)
Fe 0.0000 0.0000 0.0000 (multiplicity 3)
Au 0.0000 0.0000 0.5000 (multiplicity 3)

Properties
As for the calculated formation energy: 0.37 eV/atom. The calculation puts the theoretical density at 6.018 g cm⁻³. The size of the total moment comes out at 0.6235 μB/atom. The total energy is -0.277 Ry per atom. Its density of states at the Fermi level is 19.5 states/eV/cell.

Entry 4:
Compound: Sr2FeAu
Source: Alexandria via LeMat-Bulk
Functional: PBEsol
Structure: optimized geometry

a b c (Å): 3.748 4.887 6.224
angles (deg): 90.00 90.00 90.00
Space group Pmm2 (No. 25)
Inequivalent atoms, fractional coordinates:
Sr 0.000 0.000 0.000 (multiplicity 1)
Sr 0.500 0.500 0.432 (multiplicity 1)
Fe 0.500 0.500 0.921 (multiplicity 1)
Au 0.000 0.000 0.510 (multiplicity 1)

Properties
As for the calculated formation energy: 0.37 eV/atom. The calculation puts the theoretical density at 6.235 g cm⁻³. The size of the total moment comes out at 0.5712 μB/atom. The total energy is -0.278 Ry per atom. Its density of states at the Fermi level is 4.9 states/eV/cell.

Entry 5:
Compound: SrFeAu2
Source: Alexandria via LeMat-Bulk
Functional: PBEsol
Structure: optimized geometry

a b c (Å): 6.903 6.903 6.903
angles (deg): 90.00 90.00 90.00
Space group Fm-3m (No. 225)
Inequivalent atoms, fractional coordinates:
Sr 0.000 0.000 0.000 (multiplicity 4)
Fe 0.000 0.000 0.500 (multiplicity 4)
Au 0.250 0.250 0.250 (multiplicity 8)

Properties
As for the calculated formation energy: 0.13 eV/atom. The calculation puts the theoretical density at 10.853 g cm⁻³. Its energy above the most stable polymorph in this dataset is 259 meV/atom. The size of the total moment comes out at 0.8145 μB/atom. The total energy is -0.334 Ry per atom. Its density of states at the Fermi level is 16.5 states/eV/cell.

Entry 6:
Compound: SrFeAu2
Source: Alexandria via LeMat-Bulk
Functional: PBEsol
Structure: optimized geometry

a b c (Å): 4.4277 4.4277 16.1261
angles (deg): 90.00 90.00 120.00
Space group R3m (No. 160, hexagonal axes)
Inequivalent atoms, fractional coordinates:
Sr 0.0000 0.0000 0.0000 (multiplicity 3)
Fe 0.0000 0.0000 0.1886 (multiplicity 3)
Au 0.0000 0.0000 0.5297 (multiplicity 3)
Au 0.0000 0.0000 0.8038 (multiplicity 3)

Properties
As for the calculated formation energy: -0.13 eV/atom. The calculation puts the theoretical density at 9.777 g cm⁻³. Its energy above the most stable polymorph in this dataset is 0 meV/atom. The size of the total moment comes out at 0.6856 μB/atom. The total energy is -0.353 Ry per atom. Its density of states at the Fermi level is 8.6 states/eV/cell.

Entry 7:
Compound: SrFeAu
Source: Alexandria via LeMat-Bulk
Functional: PBEsol
Structure: optimized geometry

a b c (Å): 6.900 6.900 6.900
angles (deg): 90.00 90.00 90.00
Space group F-43m (No. 216)
Inequivalent atoms, fractional coordinates:
Sr 0.000 0.000 0.000 (multiplicity 4)
Fe 0.250 0.250 0.750 (multiplicity 4)
Au 0.250 0.250 0.250 (multiplicity 4)

Properties
As for the calculated formation energy: 0.96 eV/atom. The calculation puts the theoretical density at 6.883 g cm⁻³. The size of the total moment comes out at 1.0606 μB/atom. The total energy is -0.290 Ry per atom. Its density of states at the Fermi level is 18.7 states/eV/cell.

Entry 8:
Compound: SrZrFeAu2
Source: Alexandria via LeMat-Bulk
Functional: PBEsol
Structure: optimized geometry

a b c (Å): 5.164 5.164 5.270
angles (deg): 90.00 90.00 90.00
Space group P4/mmm (No. 123)
Inequivalent atoms, fractional coordinates:
Sr 0.000 0.000 0.000 (multiplicity 1)
Zr 0.000 0.000 0.500 (multiplicity 1)
Fe 0.500 0.500 0.500 (multiplicity 1)
Au 0.000 0.500 0.000 (multiplicity 2)

Properties
As for the calculated formation energy: 1.88 eV/atom. The calculation puts the theoretical density at 7.427 g cm⁻³. The size of the total moment comes out at 0.5754 μB/atom. The total energy is -0.270 Ry per atom. Its density of states at the Fermi level is 6.2 states/eV/cell.

Entry 9:
Compound: TaFe2Au
Source: Alexandria via LeMat-Bulk
Functional: PBEsol
Structure: optimized geometry

a b c (Å): 6.005 6.005 6.005
angles (deg): 90.00 90.00 90.00
Space group Fm-3m (No. 225)
Inequivalent atoms, fractional coordinates:
Ta 0.000 0.000 0.000 (multiplicity 4)
Fe 0.250 0.250 0.250 (multiplicity 8)
Au 0.000 0.000 0.500 (multiplicity 4)

Properties
As for the calculated formation energy: 0.08 eV/atom. The calculation puts the theoretical density at 15.017 g cm⁻³. The size of the total moment comes out at 0.5167 μB/atom. The total energy is -0.626 Ry per atom. Its density of states at the Fermi level is 20.7 states/eV/cell.

Entry 10:
Compound: TaFe4Au
Source: Alexandria via LeMat-Bulk
Functional: PBEsol
Structure: optimized geometry

a b c (Å): 6.684 6.684 6.684
angles (deg): 90.00 90.00 90.00
Space group F-43m (No. 216)
Inequivalent atoms, fractional coordinates:
Ta 0.000 0.000 0.000 (multiplicity 4)
Fe 0.124 0.124 0.376 (multiplicity 16)
Au 0.250 0.250 0.750 (multiplicity 4)

Properties
As for the calculated formation energy: -0.13 eV/atom. The calculation puts the theoretical density at 13.373 g cm⁻³. The size of the total moment comes out at 1.0142 μB/atom. The total energy is -0.651 Ry per atom. Its density of states at the Fermi level is 11.8 states/eV/cell.

Entry 11:
Compound: YTaFeAu2
Source: Alexandria via LeMat-Bulk
Functional: PBEsol
Structure: optimized geometry

a b c (Å): 4.861 4.861 4.279
angles (deg): 90.00 90.00 90.00
Space group P4/mmm (No. 123)
Inequivalent atoms, fractional coordinates:
Y 0.000 0.000 0.000 (multiplicity 1)
Ta 0.500 0.500 0.000 (multiplicity 1)
Fe 0.500 0.500 0.500 (multiplicity 1)
Au 0.000 0.500 0.500 (multiplicity 2)

Properties
As for the calculated formation energy: 0.28 eV/atom. The calculation puts the theoretical density at 11.821 g cm⁻³. The size of the total moment comes out at 0.0666 μB/atom. The total energy is -0.511 Ry per atom. Its density of states at the Fermi level is 4.1 states/eV/cell.

Entry 12:
Compound: FeTcAu3
Source: Alexandria via LeMat-Bulk
Functional: PBEsol
Structure: optimized geometry

a b c (Å): 4.650 4.650 4.650
angles (deg): 90.00 90.00 90.00
Space group Pm-3m (No. 221)
Inequivalent atoms, fractional coordinates:
Fe 0.000 0.000 0.000 (multiplicity 1)
Tc 0.500 0.500 0.500 (multiplicity 1)
Au 0.000 0.000 0.500 (multiplicity 3)

Properties
As for the calculated formation energy: 1.41 eV/atom. The calculation puts the theoretical density at 12.301 g cm⁻³. The size of the total moment comes out at 1.3773 μB/atom. The total energy is -0.366 Ry per atom. Its density of states at the Fermi level is 4.3 states/eV/cell.

Entry 13:
Compound: FeTcAu
Source: Alexandria via LeMat-Bulk
Functional: PBEsol
Structure: optimized geometry

a b c (Å): 2.708 2.708 11.214
angles (deg): 90.00 90.00 90.00
Space group I4mm (No. 107)
Inequivalent atoms, fractional coordinates:
Fe 0.000 0.000 0.000 (multiplicity 2)
Tc 0.000 0.000 0.633 (multiplicity 2)
Au 0.000 0.000 0.324 (multiplicity 2)

Properties
As for the calculated formation energy: 0.19 eV/atom. The calculation puts the theoretical density at 14.163 g cm⁻³. Its energy above the most stable polymorph in this dataset is 0 meV/atom. The size of the total moment comes out at 0.3009 μB/atom. The total energy is -0.578 Ry per atom. Its density of states at the Fermi level is 5.9 states/eV/cell.

Entry 14:
Compound: FeTcAu
Source: Alexandria via LeMat-Bulk
Functional: PBEsol
Structure: optimized geometry

a b c (Å): 5.700 5.700 5.700
angles (deg): 90.00 90.00 90.00
Space group F-43m (No. 216)
Inequivalent atoms, fractional coordinates:
Fe 0.000 0.000 0.000 (multiplicity 4)
Tc 0.250 0.250 0.250 (multiplicity 4)
Au 0.250 0.250 0.750 (multiplicity 4)

Properties
As for the calculated formation energy: 0.59 eV/atom. The calculation puts the theoretical density at 12.580 g cm⁻³. Its energy above the most stable polymorph in this dataset is 398 meV/atom. The size of the total moment comes out at 0.5693 μB/atom. The total energy is -0.549 Ry per atom. Its density of states at the Fermi level is 6.7 states/eV/cell.

Entry 15:
Compound: Fe2TcAu
Source: Alexandria via LeMat-Bulk
Functional: PBEsol
Structure: optimized geometry

a b c (Å): 2.688 3.603 5.435
angles (deg): 90.00 90.00 90.00
Space group Pmmm (No. 47)
Inequivalent atoms, fractional coordinates:
Fe 0.000 0.000 0.218 (multiplicity 2)
Tc 0.500 0.500 0.000 (multiplicity 1)
Au 0.500 0.500 0.500 (multiplicity 1)

Properties
As for the calculated formation energy: 0.20 eV/atom. The calculation puts the theoretical density at 12.833 g cm⁻³. The size of the total moment comes out at 0.8971 μB/atom. The total energy is -0.594 Ry per atom. Its density of states at the Fermi level is 4.1 states/eV/cell.

Entry 16:
Compound: FeTe2Au
Source: Alexandria via LeMat-Bulk
Functional: PBEsol
Structure: optimized geometry

a b c (Å): 6.842 6.842 6.842
angles (deg): 90.00 90.00 90.00
Space group Fm-3m (No. 225)
Inequivalent atoms, fractional coordinates:
Fe 0.000 0.000 0.000 (multiplicity 4)
Te 0.250 0.250 0.250 (multiplicity 8)
Au 0.000 0.000 0.500 (multiplicity 4)

Properties
The calculation puts the theoretical density at 10.534 g cm⁻³. The energy relative to the elements, uncorrected comes out at 507 meV/atom. The size of the total moment comes out at 0.5293 μB/atom. The total energy is -0.329 Ry per atom. Its density of states at the Fermi level is 23.3 states/eV/cell.

Entry 17:
Compound: FeTeAu2
Source: Alexandria via LeMat-Bulk
Functional: PBEsol
Structure: optimized geometry

a b c (Å): 5.387 6.766 4.009
angles (deg): 90.00 90.00 90.00
Space group Cmmm (No. 65)
Inequivalent atoms, fractional coordinates:
Fe 0.000 0.000 0.000 (multiplicity 2)
Te 0.000 0.500 0.000 (multiplicity 2)
Au 0.250 0.250 0.500 (multiplicity 4)

Properties
The calculation puts the theoretical density at 13.121 g cm⁻³. The energy relative to the elements, uncorrected comes out at 359 meV/atom. The size of the total moment comes out at 0.7746 μB/atom. The total energy is -0.347 Ry per atom. Its density of states at the Fermi level is 7.5 states/eV/cell.

Entry 18:
Compound: FeTeAu
Source: Alexandria via LeMat-Bulk
Functional: PBEsol
Structure: optimized geometry

a b c (Å): 6.260 6.260 6.260
angles (deg): 90.00 90.00 90.00
Space group F-43m (No. 216)
Inequivalent atoms, fractional coordinates:
Fe 0.000 0.000 0.000 (multiplicity 4)
Te 0.250 0.250 0.750 (multiplicity 4)
Au 0.000 0.000 0.500 (multiplicity 4)

Properties
The calculation puts the theoretical density at 10.300 g cm⁻³. The energy relative to the elements, uncorrected comes out at 525 meV/atom. The size of the total moment comes out at 0.9184 μB/atom. The total energy is -0.364 Ry per atom. Its density of states at the Fermi level is 12.0 states/eV/cell.

Entry 19:
Compound: Fe2TeAu
Source: Alexandria via LeMat-Bulk
Functional: PBEsol
Structure: optimized geometry

a b c (Å): 3.944 3.409 9.517
angles (deg): 90.00 90.00 90.00
Space group Amm2 (No. 38)
Inequivalent atoms, fractional coordinates:
Fe 0.000 0.000 0.000 (multiplicity 2)
Fe 0.500 0.000 0.144 (multiplicity 2)
Te 0.500 0.000 0.421 (multiplicity 2)
Au 0.000 0.000 0.718 (multiplicity 2)

Properties
The calculation puts the theoretical density at 11.322 g cm⁻³. The energy relative to the elements, uncorrected comes out at 276 meV/atom. The size of the total moment comes out at 1.2161 μB/atom. The total energy is -0.446 Ry per atom. Its density of states at the Fermi level is 8.2 states/eV/cell.

Entry 20:
Compound: TlFeAu2
Source: Alexandria via LeMat-Bulk
Functional: PBEsol
Structure: optimized geometry

a b c (Å): 3.007 3.655 6.378
angles (deg): 90.00 90.00 90.00
Space group Pmm2 (No. 25)
Inequivalent atoms, fractional coordinates:
Tl 0.000 0.000 0.000 (multiplicity 1)
Fe 0.500 0.500 0.729 (multiplicity 1)
Au 0.000 0.000 0.535 (multiplicity 1)
Au 0.500 0.500 0.287 (multiplicity 1)

Properties
As for the calculated formation energy: 0.29 eV/atom. The calculation puts the theoretical density at 15.498 g cm⁻³. Its energy above the most stable polymorph in this dataset is 87 meV/atom. The size of the total moment comes out at 0.7600 μB/atom. The total energy is -0.336 Ry per atom. Its density of states at the Fermi level is 2.7 states/eV/cell.